# 1
First-principles (PBEsol) data for crystalline LiAgPt2 at its relaxed geometry, as listed in Alexandria via LeMat-Bulk.

The structure in CIF format:
```
data_LiAgPt2
_symmetry_space_group_name_H-M 'P m m m'
_symmetry_Int_Tables_number 47
_symmetry_space_group_name_Hall '-P 2 2'
_cell_length_a 2.7855
_cell_length_b 4.6064
_cell_length_c 4.6279
_cell_angle_alpha 90.00
_cell_angle_beta 90.00
_cell_angle_gamma 90.00
loop_
_atom_site_label
_atom_site_type_symbol
_atom_site_fract_x
_atom_site_fract_y
_atom_site_fract_z
_atom_site_occupancy
Li1 Li 0.0000 0.0000 0.0000 1
Ag1 Ag 0.5000 0.5000 0.0000 1
Pt1 Pt 0.0000 0.5000 0.5000 1
Pt2 Pt 0.5000 0.0000 0.5000 1
```

The formation energy is -28.01 kJ per mole of atoms. The energy relative to the lowest polymorph listed for this composition comes out at 0.008 eV per atom. As for the final energy: -0.1871 hartree per atom. The volume comes out at 59.38 Å³/cell.

=====

# 2
First-principles (PBEsol) data for crystalline Sr2IrBr at its relaxed geometry, as listed in Alexandria via LeMat-Bulk.

The structure in CIF format:
```
data_Sr2IrBr
_symmetry_space_group_name_H-M 'I m m 2'
_symmetry_Int_Tables_number 44
_symmetry_space_group_name_Hall 'I 2 -2'
_cell_length_a 3.7014
_cell_length_b 3.9046
_cell_length_c 15.8930
_cell_angle_alpha 90.00
_cell_angle_beta 90.00
_cell_angle_gamma 90.00
loop_
_atom_site_label
_atom_site_type_symbol
_atom_site_fract_x
_atom_site_fract_y
_atom_site_fract_z
_atom_site_occupancy
Sr1 Sr 0.0000 0.0000 0.0000 1
Sr2 Sr 0.0000 0.5000 0.2851 1
Ir1 Ir 0.0000 0.0000 0.4152 1
Br1 Br 0.0000 0.5000 0.6709 1
```

The energy relative to the lowest polymorph listed for this composition comes out at 0.000 eV per atom. Its formation energy (no corrections) is -0.650 eV/atom. As for the final energy: -0.1651 hartree per atom. The volume comes out at 229.70 Å³/cell.

=====

# 3
First-principles (PBEsol) data for crystalline CdSi2W at its relaxed geometry, as listed in Alexandria via LeMat-Bulk.

The structure in CIF format:
```
data_CdSi2W
_symmetry_space_group_name_H-M 'I -4 2 d'
_symmetry_Int_Tables_number 122
_symmetry_space_group_name_Hall 'I -4 2bw'
_cell_length_a 6.1147
_cell_length_b 6.1147
_cell_length_c 9.9980
_cell_angle_alpha 90.00
_cell_angle_beta 90.00
_cell_angle_gamma 90.00
loop_
_atom_site_label
_atom_site_type_symbol
_atom_site_fract_x
_atom_site_fract_y
_atom_site_fract_z
_atom_site_occupancy
Cd1 Cd 0.0000 0.0000 0.0000 1
Si1 Si 0.2180 0.7500 0.6250 1
W1 W 0.0000 0.0000 0.5000 1
```

Its formation energy (no corrections) is 1.022 eV/atom. As for the final energy: -0.2059 hartree per atom. The volume comes out at 373.82 Å³/cell.

=====

- Which formula does entry 3 have?
  CdSi2W